# 1
Compound: BaCu3Sn
Source: Alexandria
Functional: PBE-GGA
Structure: optimized geometry

Cell: 5.466 5.466 5.466 Å, 90.00 90.00 90.00°
Space group Pm-3m (No. 221)
Unique sites:
Ba1 0.000 0.000 0.000 [1 per cell]
Cu1 0.000 0.000 0.500 [3 per cell]
Sn1 0.500 0.500 0.500 [1 per cell]

Results
Energy above the lowest structure with this stoichiometry = 1.164 eV/atom
ΔH_f (0 K) = 1278 meV/atom
Total DFT energy (no corrections) = -0.1738 Ry/atom

# 2
Compound: Ba2CuSn
Source: Alexandria
Functional: PBE-GGA
Structure: optimized geometry

Cell: 4.3591 4.3591 32.5217 Å, 90.00 90.00 120.00°
Space group R-3m (No. 166, hexagonal axes)
Unique sites:
Ba1 0.0000 0.0000 0.1069 [6 per cell]
Cu1 0.0000 0.0000 0.5000 [3 per cell]
Sn1 0.0000 0.0000 0.0000 [3 per cell]

Results
ΔH_f (0 K) = 234 meV/atom
Total DFT energy (no corrections) = -0.2022 Ry/atom